No. 1
Below is an optimized crystal structure of SmHo6Er6, with properties calculated at the PBE level.

ΔE_f in eV/atom: 0.224
SG: P2/m (10)
Uncorrected energy in eV for the cell shown: -56.65

Unit cell a=6.970 b=6.551 c=10.936 alpha=90.00 beta=90.00 gamma=122.40
Sites, in units of the cell vectors:
Sm 0.000 0.000 0.000
Ho 0.000 0.000 0.664
Ho 0.000 0.000 0.336
Ho 0.335 0.714 0.000
Ho 0.665 0.286 0.000
Ho 0.267 0.527 0.500
Ho 0.733 0.473 0.500
Er 0.000 0.500 0.768
Er 0.500 0.000 0.698
Er 0.500 0.500 0.781
Er 0.500 0.000 0.302
Er 0.000 0.500 0.232
Er 0.500 0.500 0.219



No. 2
Below is an optimized crystal structure of Sm3Ho2Er3, with properties calculated at the PBE level.

ΔE_f in eV/atom: 0.143
SG: Cmcm (63)
Uncorrected energy in eV for the cell shown: -71.71
Offset from the most stable computed form in meV per atom: 15

Unit cell a=5.500 b=6.503 c=16.133 alpha=90.00 beta=90.00 gamma=115.02
Sites, in units of the cell vectors:
Sm 0.616 0.231 0.448
Sm 0.384 0.769 0.948
Sm 0.616 0.231 0.052
Sm 0.384 0.769 0.552
Sm 0.459 0.919 0.250
Sm 0.541 0.081 0.750
Ho 0.776 0.553 0.869
Ho 0.224 0.447 0.369
Ho 0.776 0.553 0.631
Ho 0.224 0.447 0.131
Er 0.920 0.841 0.411
Er 0.080 0.159 0.911
Er 0.920 0.841 0.089
Er 0.080 0.159 0.589
Er 0.738 0.477 0.250
Er 0.262 0.523 0.750



No. 3
Below is an optimized crystal structure of Sm4Ho5Er2, with properties calculated at the PBE level.

ΔE_f in eV/atom: 0.096
SG: C2/m (12)
Uncorrected energy in eV for the cell shown: -49.83

Unit cell a=5.667 b=9.117 c=24.029 alpha=162.05 beta=96.77 gamma=90.00
Sites, in units of the cell vectors:
Sm 0.307 0.257 0.614
Sm 0.962 0.122 0.924
Sm 0.693 0.743 0.386
Sm 0.038 0.878 0.076
Ho 0.855 0.255 0.710
Ho 0.145 0.745 0.290
Ho 0.764 0.456 0.528
Ho 0.500 0.000 0.000
Ho 0.236 0.544 0.472
Er 0.398 0.077 0.796
Er 0.602 0.923 0.204



No. 4
Below is an optimized crystal structure of Sm5Ho3Er2, with properties calculated at the PBE level.

ΔE_f in eV/atom: 0.391
SG: Ibam (72)
Uncorrected energy in eV for the cell shown: -85.08
Offset from the most stable computed form in meV per atom: 199

Unit cell a=10.905 b=9.884 c=9.884 alpha=56.53 beta=56.52 gamma=56.52
Sites, in units of the cell vectors:
Sm 0.250 0.500 0.500
Sm 0.750 0.500 0.500
Sm 0.498 0.752 0.752
Sm 0.002 0.248 0.248
Sm 0.502 0.248 0.248
Sm 0.998 0.752 0.752
Sm 0.128 0.475 0.270
Sm 0.872 0.525 0.730
Sm 0.628 0.270 0.475
Sm 0.372 0.730 0.525
Ho 0.250 0.000 0.000
Ho 0.750 0.000 0.000
Ho 0.376 0.376 0.872
Ho 0.624 0.624 0.128
Ho 0.876 0.872 0.376
Ho 0.124 0.128 0.624
Er 0.121 0.792 0.965
Er 0.879 0.208 0.035
Er 0.621 0.965 0.792
Er 0.379 0.035 0.208



Q: Among the records above, which one has the highest uncorrected energy?
A: Sm4Ho5Er2



Copy entry 4 word for word.
Below is an optimized crystal structure of Sm5Ho3Er2, with properties calculated at the PBE level.

ΔE_f in eV/atom: 0.391
SG: Ibam (72)
Uncorrected energy in eV for the cell shown: -85.08
Offset from the most stable computed form in meV per atom: 199

Unit cell a=10.905 b=9.884 c=9.884 alpha=56.53 beta=56.52 gamma=56.52
Sites, in units of the cell vectors:
Sm 0.250 0.500 0.500
Sm 0.750 0.500 0.500
Sm 0.498 0.752 0.752
Sm 0.002 0.248 0.248
Sm 0.502 0.248 0.248
Sm 0.998 0.752 0.752
Sm 0.128 0.475 0.270
Sm 0.872 0.525 0.730
Sm 0.628 0.270 0.475
Sm 0.372 0.730 0.525
Ho 0.250 0.000 0.000
Ho 0.750 0.000 0.000
Ho 0.376 0.376 0.872
Ho 0.624 0.624 0.128
Ho 0.876 0.872 0.376
Ho 0.124 0.128 0.624
Er 0.121 0.792 0.965
Er 0.879 0.208 0.035
Er 0.621 0.965 0.792
Er 0.379 0.035 0.208